# 1
Here is an optimized crystal structure of KLi2S from the Alexandria database. Energies are from PBE.

Output
* E_form (uncorrected): -0.696 eV/atom
* mass density: 1.0 g/cm³
* density of states at the Fermi level: 0.5 states/eV/f.u.
* calculated volume: 37.0 Å³/atom

Cell lengths 7.462, 7.462, 7.488 Å; angles 60.12, 60.12, 90.00 degrees
Fractional coordinates of all 8 atoms:
K: 0.750 0.250 0.500
K: 0.000 0.000 0.000
Li: 0.875 0.624 0.750
Li: 0.375 0.626 0.750
Li: 0.374 0.125 0.250
Li: 0.376 0.625 0.250
S: 0.500 0.500 0.000
S: 0.250 0.750 0.500

=====

# 2
Here is an optimized crystal structure of YNb from the Alexandria database. Energies are from PBE.

Output
* mass density: 6.2 g/cm³
* formation enthalpy at 0 K: 0.249 eV per atom
* density of states at the Fermi level: 2.4 states/eV/f.u.
* calculated volume: 24.4 Å³/atom

Cell lengths 10.158, 3.565, 5.392 Å; angles 90.00, 92.72, 90.00 degrees
Fractional coordinates of all 8 atoms:
Y: 0.843 0.500 0.821
Y: 0.157 0.500 0.179
Y: 0.157 0.000 0.679
Y: 0.843 0.000 0.321
Nb: 0.595 0.500 0.256
Nb: 0.595 0.000 0.756
Nb: 0.405 0.500 0.744
Nb: 0.405 0.000 0.244

=====

# 3
Here is an optimized crystal structure of Sm2AlZn5 from the Alexandria database. Energies are from PBE.

Output
* mass density: 6.8 g/cm³
* formation enthalpy at 0 K: -0.360 eV per atom
* density of states at the Fermi level: 5.5 states/eV/f.u.
* calculated volume: 19.9 Å³/atom

Cell lengths 4.426, 8.392, 8.900 Å; angles 90.00, 90.00, 105.29 degrees
Fractional coordinates of all 16 atoms:
Sm: 0.000 0.000 0.500
Sm: 0.796 0.593 0.750
Sm: 0.204 0.407 0.250
Sm: 0.000 0.000 0.000
Zn: 0.649 0.299 0.479
Zn: 0.813 0.627 0.393
Zn: 0.599 0.197 0.750
Zn: 0.351 0.701 0.979
Zn: 0.351 0.701 0.521
Zn: 0.187 0.373 0.607
Zn: 0.649 0.299 0.021
Zn: 0.813 0.627 0.107
Zn: 0.187 0.373 0.893
Zn: 0.401 0.803 0.250
Al: 0.556 0.113 0.250
Al: 0.444 0.887 0.750